#one
! TaP2IrCl, relaxed, DFT PBE; values from VASP
&SYSTEM
  ibrav = 0, nat = 5, ntyp = 4
/
ATOMIC_SPECIES
Ta 180.95 Ta.upf
P 30.97 P.upf
Ir 192.22 Ir.upf
Cl 35.45 Cl.upf
CELL_PARAMETERS angstrom
4.857 0.000 0.000
0.000 4.857 0.000
0.000 0.000 4.575
ATOMIC_POSITIONS crystal
Ta 0.000 0.000 0.000
P 0.000 0.500 0.000
P 0.500 0.000 0.000
Ir 0.500 0.500 0.500
Cl 0.000 0.000 0.500
! * magnetization: 1.66 μB/cell
! * calculated density: 7241 kg/m3
! * SG: P4/mmm

#two
! TaP2IrCl, relaxed, DFT PBE; values from VASP
&SYSTEM
  ibrav = 0, nat = 5, ntyp = 4
/
ATOMIC_SPECIES
Ta 180.95 Ta.upf
P 30.97 P.upf
Ir 192.22 Ir.upf
Cl 35.45 Cl.upf
CELL_PARAMETERS angstrom
4.602 0.000 0.000
0.000 4.602 0.000
0.000 0.000 4.604
ATOMIC_POSITIONS crystal
Ta 0.000 0.000 0.000
P 0.000 0.500 0.500
P 0.500 0.000 0.500
Ir 0.500 0.500 0.500
Cl 0.500 0.500 0.000
! * magnetization: 0.00 μB/cell
! * calculated density: 8015 kg/m3
! * SG: P4/mmm

Question: which arrangement is favored energetically? Ranking from most to least stable: #one, #two.

#one
! TeP2IrCl, relaxed, DFT PBE; values from VASP
&SYSTEM
  ibrav = 0, nat = 5, ntyp = 4
/
ATOMIC_SPECIES
Te 127.60 Te.upf
P 30.97 P.upf
Ir 192.22 Ir.upf
Cl 35.45 Cl.upf
CELL_PARAMETERS angstrom
5.073 0.000 0.000
0.000 5.073 0.000
0.000 0.000 4.856
ATOMIC_POSITIONS crystal
Te 0.000 0.000 0.000
P 0.000 0.500 0.000
P 0.500 0.000 0.000
Ir 0.500 0.500 0.500
Cl 0.000 0.000 0.500
! * magnetization: 0.90 μB/cell
! * calculated density: 5543 kg/m3
! * SG: P4/mmm

#two
! TeP2IrCl, relaxed, DFT PBE; values from VASP
&SYSTEM
  ibrav = 0, nat = 5, ntyp = 4
/
ATOMIC_SPECIES
Te 127.60 Te.upf
P 30.97 P.upf
Ir 192.22 Ir.upf
Cl 35.45 Cl.upf
CELL_PARAMETERS angstrom
4.684 0.000 0.000
0.000 4.684 0.000
0.000 0.000 4.765
ATOMIC_POSITIONS crystal
Te 0.000 0.000 0.000
P 0.000 0.500 0.500
P 0.500 0.000 0.500
Ir 0.500 0.500 0.500
Cl 0.500 0.500 0.000
! * magnetization: 0.00 μB/cell
! * calculated density: 6627 kg/m3
! * SG: P4/mmm

Question: which arrangement is favored energetically? Ranking from most to least stable: #two, #one.

#one
! TePIrCl2, relaxed, DFT PBE; values from VASP
&SYSTEM
  ibrav = 0, nat = 5, ntyp = 4
/
ATOMIC_SPECIES
Te 127.60 Te.upf
P 30.97 P.upf
Ir 192.22 Ir.upf
Cl 35.45 Cl.upf
CELL_PARAMETERS angstrom
4.796 0.000 0.000
0.000 4.796 0.000
0.000 0.000 4.708
ATOMIC_POSITIONS crystal
Te 0.000 0.000 0.000
P 0.500 0.500 0.000
Ir 0.500 0.500 0.500
Cl 0.000 0.500 0.500
Cl 0.500 0.000 0.500
! * magnetization: 0.22 μB/cell
! * calculated density: 6467 kg/m3
! * SG: P4/mmm

#two
! TePIrCl2, relaxed, DFT PBE; values from VASP
&SYSTEM
  ibrav = 0, nat = 5, ntyp = 4
/
ATOMIC_SPECIES
Te 127.60 Te.upf
P 30.97 P.upf
Ir 192.22 Ir.upf
Cl 35.45 Cl.upf
CELL_PARAMETERS angstrom
5.018 0.000 0.000
0.000 5.018 0.000
0.000 0.000 5.565
ATOMIC_POSITIONS crystal
Te 0.000 0.000 0.000
P 0.000 0.000 0.500
Ir 0.500 0.500 0.500
Cl 0.000 0.500 0.000
Cl 0.500 0.000 0.000
! * magnetization: 2.05 μB/cell
! * calculated density: 4996 kg/m3
! * SG: P4/mmm

Question: which arrangement is favored energetically? Ranking from most to least stable: #one, #two.

#one
! TiPIrCl2, relaxed, DFT PBE; values from VASP
&SYSTEM
  ibrav = 0, nat = 5, ntyp = 4
/
ATOMIC_SPECIES
Ti 47.87 Ti.upf
P 30.97 P.upf
Ir 192.22 Ir.upf
Cl 35.45 Cl.upf
CELL_PARAMETERS angstrom
4.803 0.000 0.000
0.000 4.803 0.000
0.000 0.000 4.599
ATOMIC_POSITIONS crystal
Ti 0.000 0.000 0.000
P 0.500 0.500 0.000
Ir 0.500 0.500 0.500
Cl 0.000 0.500 0.500
Cl 0.500 0.000 0.500
! * magnetization: 0.00 μB/cell
! * calculated density: 5352 kg/m3
! * SG: P4/mmm

#two
! TiPIrCl2, relaxed, DFT PBE; values from VASP
&SYSTEM
  ibrav = 0, nat = 5, ntyp = 4
/
ATOMIC_SPECIES
Ti 47.87 Ti.upf
P 30.97 P.upf
Ir 192.22 Ir.upf
Cl 35.45 Cl.upf
CELL_PARAMETERS angstrom
4.497 0.000 0.000
0.000 4.497 0.000
0.000 0.000 5.249
ATOMIC_POSITIONS crystal
Ti 0.000 0.000 0.000
P 0.000 0.000 0.500
Ir 0.500 0.500 0.500
Cl 0.000 0.500 0.000
Cl 0.500 0.000 0.000
! * magnetization: 2.25 μB/cell
! * calculated density: 5350 kg/m3
! * SG: P4/mmm

Question: which arrangement is favored energetically? Ranking from most to least stable: #two, #one.

#one
! TlP2IrCl, relaxed, DFT PBE; values from VASP
&SYSTEM
  ibrav = 0, nat = 5, ntyp = 4
/
ATOMIC_SPECIES
Tl 204.38 Tl.upf
P 30.97 P.upf
Ir 192.22 Ir.upf
Cl 35.45 Cl.upf
CELL_PARAMETERS angstrom
5.065 0.000 0.000
0.000 5.065 0.000
0.000 0.000 5.068
ATOMIC_POSITIONS crystal
Tl 0.000 0.000 0.000
P 0.000 0.500 0.000
P 0.500 0.000 0.000
Ir 0.500 0.500 0.500
Cl 0.000 0.000 0.500
! * magnetization: 1.20 μB/cell
! * calculated density: 6310 kg/m3
! * SG: P4/mmm

#two
! TlP2IrCl, relaxed, DFT PBE; values from VASP
&SYSTEM
  ibrav = 0, nat = 5, ntyp = 4
/
ATOMIC_SPECIES
Tl 204.38 Tl.upf
P 30.97 P.upf
Ir 192.22 Ir.upf
Cl 35.45 Cl.upf
CELL_PARAMETERS angstrom
4.442 0.000 0.000
0.000 4.442 0.000
0.000 0.000 9.182
ATOMIC_POSITIONS crystal
Tl 0.000 0.000 0.000
P 0.000 0.500 0.500
P 0.500 0.000 0.500
Ir 0.500 0.500 0.500
Cl 0.500 0.500 0.000
! * magnetization: 0.00 μB/cell
! * calculated density: 4527 kg/m3
! * SG: P4/mmm

Question: which arrangement is favored energetically? Ranking from most to least stable: #two, #one.

#one
! P2IrWCl, relaxed, DFT PBE; values from VASP
&SYSTEM
  ibrav = 0, nat = 5, ntyp = 4
/
ATOMIC_SPECIES
P 30.97 P.upf
Ir 192.22 Ir.upf
W 183.84 W.upf
Cl 35.45 Cl.upf
CELL_PARAMETERS angstrom
4.579 0.000 0.000
0.000 4.579 0.000
0.000 0.000 4.798
ATOMIC_POSITIONS crystal
P 0.000 0.500 0.000
P 0.500 0.000 0.000
Ir 0.000 0.000 0.000
W 0.500 0.500 0.500
Cl 0.000 0.000 0.500
! * magnetization: 3.16 μB/cell
! * calculated density: 7816 kg/m3
! * SG: P4/mmm

#two
! P2IrWCl, relaxed, DFT PBE; values from VASP
&SYSTEM
  ibrav = 0, nat = 5, ntyp = 4
/
ATOMIC_SPECIES
P 30.97 P.upf
Ir 192.22 Ir.upf
W 183.84 W.upf
Cl 35.45 Cl.upf
CELL_PARAMETERS angstrom
4.733 0.000 0.000
0.000 4.733 0.000
0.000 0.000 4.521
ATOMIC_POSITIONS crystal
P 0.000 0.500 0.000
P 0.500 0.000 0.000
Ir 0.000 0.000 0.500
W 0.500 0.500 0.000
Cl 0.500 0.500 0.500
! * magnetization: 1.26 μB/cell
! * calculated density: 7764 kg/m3
! * SG: P4/mmm

Question: which arrangement is favored energetically? Ranking from most to least stable: #two, #one.

#one
! YP2IrCl, relaxed, DFT PBE; values from VASP
&SYSTEM
  ibrav = 0, nat = 5, ntyp = 4
/
ATOMIC_SPECIES
Y 88.91 Y.upf
P 30.97 P.upf
Ir 192.22 Ir.upf
Cl 35.45 Cl.upf
CELL_PARAMETERS angstrom
4.605 0.000 0.000
0.000 4.605 0.000
0.000 0.000 4.992
ATOMIC_POSITIONS crystal
Y 0.000 0.000 0.000
P 0.000 0.500 0.500
P 0.500 0.000 0.500
Ir 0.500 0.500 0.500
Cl 0.500 0.500 0.000
! * magnetization: 0.00 μB/cell
! * calculated density: 5936 kg/m3
! * SG: P4/mmm

#two
! YP2IrCl, relaxed, DFT PBE; values from VASP
&SYSTEM
  ibrav = 0, nat = 5, ntyp = 4
/
ATOMIC_SPECIES
Y 88.91 Y.upf
P 30.97 P.upf
Ir 192.22 Ir.upf
Cl 35.45 Cl.upf
CELL_PARAMETERS angstrom
5.325 0.000 0.000
0.000 5.325 0.000
0.000 0.000 4.953
ATOMIC_POSITIONS crystal
Y 0.000 0.000 0.000
P 0.000 0.500 0.000
P 0.500 0.000 0.000
Ir 0.500 0.500 0.500
Cl 0.000 0.000 0.500
! * magnetization: 1.29 μB/cell
! * calculated density: 4475 kg/m3
! * SG: P4/mmm

Question: which arrangement is favored energetically? Ranking from most to least stable: #one, #two.

#one
! ZrPIrCl2, relaxed, DFT PBE; values from VASP
&SYSTEM
  ibrav = 0, nat = 5, ntyp = 4
/
ATOMIC_SPECIES
Zr 91.22 Zr.upf
P 30.97 P.upf
Ir 192.22 Ir.upf
Cl 35.45 Cl.upf
CELL_PARAMETERS angstrom
4.847 0.000 0.000
0.000 4.847 0.000
0.000 0.000 5.330
ATOMIC_POSITIONS crystal
Zr 0.000 0.000 0.000
P 0.000 0.000 0.500
Ir 0.500 0.500 0.500
Cl 0.000 0.500 0.000
Cl 0.500 0.000 0.000
! * magnetization: 2.11 μB/cell
! * calculated density: 5110 kg/m3
! * SG: P4/mmm

#two
! ZrPIrCl2, relaxed, DFT PBE; values from VASP
&SYSTEM
  ibrav = 0, nat = 5, ntyp = 4
/
ATOMIC_SPECIES
Zr 91.22 Zr.upf
P 30.97 P.upf
Ir 192.22 Ir.upf
Cl 35.45 Cl.upf
CELL_PARAMETERS angstrom
4.687 0.000 0.000
0.000 4.687 0.000
0.000 0.000 4.735
ATOMIC_POSITIONS crystal
Zr 0.000 0.000 0.000
P 0.500 0.500 0.000
Ir 0.500 0.500 0.500
Cl 0.000 0.500 0.500
Cl 0.500 0.000 0.500
! * magnetization: 0.00 μB/cell
! * calculated density: 6152 kg/m3
! * SG: P4/mmm

Question: which arrangement is favored energetically? Ranking from most to least stable: #two, #one.

#one
! IrPb2Cl, relaxed, DFT PBE; values from VASP
&SYSTEM
  ibrav = 0, nat = 4, ntyp = 3
/
ATOMIC_SPECIES
Ir 192.22 Ir.upf
Pb 207.20 Pb.upf
Cl 35.45 Cl.upf
CELL_PARAMETERS angstrom
-1.727 2.038 7.792
1.727 -2.038 7.792
1.727 2.038 -7.792
ATOMIC_POSITIONS crystal
Ir 0.000 0.000 0.000
Pb 0.146 0.646 0.500
Pb 0.435 0.435 0.000
Cl 0.742 0.242 0.500
! * magnetization: 0.00 μB/cell
! * calculated density: 9719 kg/m3
! * SG: Imm2

#two
! IrPb2Cl, relaxed, DFT PBE; values from VASP
&SYSTEM
  ibrav = 0, nat = 4, ntyp = 3
/
ATOMIC_SPECIES
Ir 192.22 Ir.upf
Pb 207.20 Pb.upf
Cl 35.45 Cl.upf
CELL_PARAMETERS angstrom
3.456 0.000 0.000
0.000 3.375 0.000
-0.011 0.000 8.023
ATOMIC_POSITIONS crystal
Ir 0.000 0.000 0.000
Pb 0.499 0.500 0.221
Pb 0.501 0.500 0.779
Cl 0.000 0.000 0.500
! * magnetization: 0.00 μB/cell
! * calculated density: 11396 kg/m3
! * SG: P2/m

#three
! IrPb2Cl, relaxed, DFT PBE; values from VASP
&SYSTEM
  ibrav = 0, nat = 4, ntyp = 3
/
ATOMIC_SPECIES
Ir 192.22 Ir.upf
Pb 207.20 Pb.upf
Cl 35.45 Cl.upf
CELL_PARAMETERS angstrom
0.000 3.588 3.588
3.588 0.000 3.588
3.588 3.588 0.000
ATOMIC_POSITIONS crystal
Ir 0.000 0.000 0.000
Pb 0.250 0.250 0.250
Pb 0.500 0.500 0.500
Cl 0.750 0.750 0.750
! * magnetization: 0.00 μB/cell
! * calculated density: 11537 kg/m3
! * SG: F-43m

#four
! IrPb2Cl, relaxed, DFT PBE; values from VASP
&SYSTEM
  ibrav = 0, nat = 4, ntyp = 3
/
ATOMIC_SPECIES
Ir 192.22 Ir.upf
Pb 207.20 Pb.upf
Cl 35.45 Cl.upf
CELL_PARAMETERS angstrom
3.536 -2.044 0.000
3.536 2.044 0.000
-2.311 0.000 7.400
ATOMIC_POSITIONS crystal
Ir 0.000 0.000 0.000
Pb 0.268 0.268 0.800
Pb 0.732 0.732 0.200
Cl 0.500 0.500 0.500
! * magnetization: 0.00 μB/cell
! * calculated density: 9964 kg/m3
! * SG: C2/m

Question: which arrangement is favored energetically? Ranking from most to least stable: #four, #two, #one, #three.

#one
! IrPb2Cl, relaxed, DFT PBE; values from VASP
&SYSTEM
  ibrav = 0, nat = 8, ntyp = 3
/
ATOMIC_SPECIES
Ir 192.22 Ir.upf
Pb 207.20 Pb.upf
Cl 35.45 Cl.upf
CELL_PARAMETERS angstrom
-3.337 3.337 6.260
3.337 -3.337 6.260
3.337 3.337 -6.260
ATOMIC_POSITIONS crystal
Ir 0.000 0.000 0.000
Ir 0.750 0.250 0.500
Pb 0.070 0.625 0.945
Pb 0.375 0.320 0.445
Pb 0.680 0.125 0.055
Pb 0.875 0.930 0.555
Cl 0.250 0.750 0.500
Cl 0.500 0.500 0.000
! * magnetization: 0.00 μB/cell
! * calculated density: 7646 kg/m3
! * SG: I-42d

#two
! IrPb2Cl, relaxed, DFT PBE; values from VASP
&SYSTEM
  ibrav = 0, nat = 4, ntyp = 3
/
ATOMIC_SPECIES
Ir 192.22 Ir.upf
Pb 207.20 Pb.upf
Cl 35.45 Cl.upf
CELL_PARAMETERS angstrom
7.261 -1.662 0.000
7.261 1.662 0.000
-0.014 0.000 4.509
ATOMIC_POSITIONS crystal
Ir 0.000 0.000 0.000
Pb 0.462 0.462 0.500
Pb 0.661 0.661 0.002
Cl 0.251 0.251 0.503
! * magnetization: 0.00 μB/cell
! * calculated density: 9794 kg/m3
! * SG: Cm

#three
! IrPb2Cl, relaxed, DFT PBE; values from VASP
&SYSTEM
  ibrav = 0, nat = 4, ntyp = 3
/
ATOMIC_SPECIES
Ir 192.22 Ir.upf
Pb 207.20 Pb.upf
Cl 35.45 Cl.upf
CELL_PARAMETERS angstrom
2.050 -2.628 0.000
2.050 2.628 0.000
0.000 0.000 8.953
ATOMIC_POSITIONS crystal
Ir 0.000 0.000 0.000
Pb 0.000 0.000 0.530
Pb 0.500 0.500 0.194
Cl 0.500 0.500 0.780
! * magnetization: 0.00 μB/cell
! * calculated density: 11057 kg/m3
! * SG: Cmm2

#four
! IrPb2Cl, relaxed, DFT PBE; values from VASP
&SYSTEM
  ibrav = 0, nat = 4, ntyp = 3
/
ATOMIC_SPECIES
Ir 192.22 Ir.upf
Pb 207.20 Pb.upf
Cl 35.45 Cl.upf
CELL_PARAMETERS angstrom
3.451 0.000 0.000
0.000 3.451 0.000
0.000 0.000 8.173
ATOMIC_POSITIONS crystal
Ir 0.000 0.000 0.000
Pb 0.000 0.000 0.474
Pb 0.500 0.500 0.166
Cl 0.500 0.500 0.708
! * magnetization: 0.00 μB/cell
! * calculated density: 10955 kg/m3
! * SG: P4mm

Question: which arrangement is favored energetically? Ranking from most to least stable: #two, #one, #four, #three.

#one
! IrPb3Cl, relaxed, DFT PBE; values from VASP
&SYSTEM
  ibrav = 0, nat = 5, ntyp = 3
/
ATOMIC_SPECIES
Ir 192.22 Ir.upf
Pb 207.20 Pb.upf
Cl 35.45 Cl.upf
CELL_PARAMETERS angstrom
5.349 0.000 0.000
0.000 5.349 0.000
0.000 0.000 5.349
ATOMIC_POSITIONS crystal
Ir 0.000 0.000 0.000
Pb 0.000 0.500 0.500
Pb 0.500 0.000 0.500
Pb 0.500 0.500 0.000
Cl 0.500 0.500 0.500
! * magnetization: 0.00 μB/cell
! * calculated density: 9213 kg/m3
! * SG: Pm-3m

#two
! IrPb3Cl, relaxed, DFT PBE; values from VASP
&SYSTEM
  ibrav = 0, nat = 5, ntyp = 3
/
ATOMIC_SPECIES
Ir 192.22 Ir.upf
Pb 207.20 Pb.upf
Cl 35.45 Cl.upf
CELL_PARAMETERS angstrom
5.392 0.000 0.000
0.000 5.392 0.000
0.000 0.000 5.392
ATOMIC_POSITIONS crystal
Ir 0.000 0.000 0.000
Pb 0.000 0.000 0.500
Pb 0.000 0.500 0.000
Pb 0.500 0.000 0.000
Cl 0.500 0.500 0.500
! * magnetization: 0.00 μB/cell
! * calculated density: 8993 kg/m3
! * SG: Pm-3m

Question: which arrangement is favored energetically? Ranking from most to least stable: #two, #one.

#one
! Ir3PbCl, relaxed, DFT PBE; values from VASP
&SYSTEM
  ibrav = 0, nat = 5, ntyp = 3
/
ATOMIC_SPECIES
Ir 192.22 Ir.upf
Pb 207.20 Pb.upf
Cl 35.45 Cl.upf
CELL_PARAMETERS angstrom
5.111 0.000 0.000
0.000 5.111 0.000
0.000 0.000 5.111
ATOMIC_POSITIONS crystal
Ir 0.000 0.000 0.500
Ir 0.000 0.500 0.000
Ir 0.500 0.000 0.000
Pb 0.000 0.000 0.000
Cl 0.500 0.500 0.500
! * magnetization: 3.51 μB/cell
! * calculated density: 10191 kg/m3
! * SG: Pm-3m

#two
! Ir3PbCl, relaxed, DFT PBE; values from VASP
&SYSTEM
  ibrav = 0, nat = 5, ntyp = 3
/
ATOMIC_SPECIES
Ir 192.22 Ir.upf
Pb 207.20 Pb.upf
Cl 35.45 Cl.upf
CELL_PARAMETERS angstrom
4.564 0.000 0.000
0.000 4.564 0.000
0.000 0.000 4.564
ATOMIC_POSITIONS crystal
Ir 0.000 0.000 0.500
Ir 0.000 0.500 0.000
Ir 0.500 0.000 0.000
Pb 0.500 0.500 0.500
Cl 0.000 0.000 0.000
! * magnetization: 0.00 μB/cell
! * calculated density: 14312 kg/m3
! * SG: Pm-3m

Question: which arrangement is favored energetically? Ranking from most to least stable: #two, #one.